(1)
Computed, not measured: an optimized crystal structure of SrAcAu2 at the PBE level of DFT.

```
SrAcAu2
1.0
4.196 0.000 -0.028
0.000 4.962 0.000
-2.060 0.000 5.868
Ac Sr Au
1 1 2
direct
0.449 0.500 0.437
0.720 0.000 0.978
0.996 0.000 0.532
0.167 0.500 0.871
```

Values from the calculation:
E above lowest polymorph: 0.000 eV/atom


(2)
Computed, not measured: an optimized crystal structure of BTe3F at the PBE level of DFT.

```
BTe3F
1.0
4.787 0.000 0.000
0.000 4.787 0.000
0.000 0.000 4.787
Te F B
3 1 1
direct
0.000 0.500 0.000
0.000 0.000 0.500
0.500 0.000 0.000
0.500 0.500 0.500
0.000 0.000 0.000
```

Values from the calculation:
E above lowest polymorph: 0.000 eV/atom
E_form (uncorrected): 2.174 eV/f.u.


(3)
Computed, not measured: an optimized crystal structure of La2NdTm5Sc at the PBE level of DFT.

```
La2NdTm5Sc
1.0
-4.813 2.819 0.281
-0.619 -7.294 7.087
4.230 6.515 7.074
La Tm Nd Sc
4 10 2 2
direct
0.886 0.772 0.813
0.114 0.228 0.313
0.116 0.232 0.733
0.884 0.768 0.233
0.984 0.968 0.521
0.722 0.444 0.821
0.296 0.593 0.704
0.278 0.556 0.321
0.704 0.407 0.204
0.483 0.966 0.739
0.517 0.034 0.239
0.377 0.755 0.018
0.016 0.032 0.021
0.623 0.245 0.518
0.414 0.828 0.462
0.586 0.172 0.962
0.800 0.601 0.513
0.200 0.399 0.013
```

Values from the calculation:
Final energy: -4.6530 eV per atom


(4)
Computed, not measured: an optimized crystal structure of SmTmMgCu at the PBE level of DFT.

```
SmTmMgCu
1.0
5.145 0.000 0.000
2.573 4.456 0.000
2.573 1.485 4.201
Sm Cu Mg Tm
1 1 1 1
direct
0.500 0.500 0.500
0.250 0.250 0.250
0.750 0.750 0.750
0.000 0.000 0.000
```

Values from the calculation:
Final energy: -3.7764 eV per atom


(5)
Computed, not measured: an optimized crystal structure of Ac2TbPtO8 at the PBE level of DFT.

```
Ac2TbPtO8
1.0
5.658 0.000 0.000
-2.829 4.900 0.000
0.000 0.000 6.311
O Ac Pt Tb
8 2 1 1
direct
0.840 0.160 0.805
0.680 0.840 0.195
0.160 0.840 0.195
0.160 0.320 0.195
0.320 0.160 0.805
0.333 0.667 0.521
0.840 0.680 0.805
0.667 0.333 0.479
0.667 0.333 0.139
0.333 0.667 0.861
0.000 0.000 0.000
0.000 0.000 0.500
```

Values from the calculation:
E_form (uncorrected): -22.174 eV/f.u.


(6)
Computed, not measured: an optimized crystal structure of Ac3Cd11 at the PBE level of DFT.

```
Ac3Cd11
1.0
-3.777 3.287 -0.951
-4.925 -3.714 -6.934
-7.809 -4.253 2.658
Cd Ac
11 3
direct
0.500 0.676 0.324
0.859 0.424 0.857
0.141 0.576 0.143
0.000 0.500 0.500
0.859 0.857 0.424
0.656 0.985 0.702
0.141 0.143 0.576
0.500 0.324 0.676
0.344 0.298 0.015
0.344 0.015 0.298
0.656 0.702 0.985
0.706 0.294 0.294
0.000 0.000 0.000
0.294 0.706 0.706
```

Values from the calculation:
Final energy: -1.8886 eV per atom


(7)
Computed, not measured: an optimized crystal structure of Li2GaPbAu4 at the PBE level of DFT.

```
Li2GaPbAu4
1.0
-4.163 1.448 1.308
-3.338 -3.050 0.833
-0.227 -0.927 8.383
Au Ga Li Pb
4 1 2 1
direct
0.134 0.134 0.597
0.391 0.391 0.827
0.609 0.609 0.173
0.866 0.866 0.403
0.500 0.500 0.500
0.249 0.249 0.253
0.751 0.751 0.747
0.000 0.000 0.000
```

Values from the calculation:
Final energy: -3.3145 eV per atom


(8)
Computed, not measured: an optimized crystal structure of ZnNi2Pb at the PBE level of DFT.

```
ZnNi2Pb
1.0
-1.241 -1.033 -3.574
2.404 -2.166 -0.209
-1.825 -4.587 1.960
Pb Ni Zn
1 2 1
direct
0.000 0.468 0.440
0.500 0.067 0.242
0.000 0.207 0.960
0.500 0.758 0.857
```

Values from the calculation:
Final energy: -4.0164 eV per atom


Size of the total moment for every record listed, in sequence, given in μB per formula unit: 0.0 0.0 0.0 0.0 3.1 0.0 0.0 0.0.
Density for every record listed, in sequence, given in g/cm³: 9.65 6.25 7.58 7.02 8.88 8.44 12.22 10.04.